[1]
Ta2MoSe4S2 | PBE | optimized geometry

Volume in A^3/atom: 23.505
Spin magnetization in μB/cell: 0.254
Crystal system: trigonal
Uncorrected formation energy in eV per atom: -0.79
Total energy in eV for the cell shown: -63.84

Cell: 3.3803 3.3803 21.3779 Å, 90.00 90.00 120.00°
Closest atoms and distances in Å follow each position.
Positions (direct):
Ta 0.0000 0.0000 0.0000  6 Se 2.59-2.60
Ta 0.3333 0.6667 0.3331  6 Se 2.59-2.60
Mo 0.3333 0.6667 0.6789  6 S 2.47
Se 0.0000 0.0000 0.2531  3 Ta 2.59
Se 0.0000 0.0000 0.4131  3 Ta 2.60
Se 0.3333 0.6667 0.0800  3 Ta 2.60
Se 0.3333 0.6667 0.9200  3 Ta 2.59
S 0.0000 0.0000 0.6084  3 Mo 2.47
S 0.0000 0.0000 0.7495  3 Mo 2.47

***

[2]
Ta2MoSe2S4 | PBE | optimized geometry

Volume in A^3/atom: 22.679
Spin magnetization in μB/cell: 0.000
Crystal system: trigonal
Uncorrected formation energy in eV per atom: -0.93
Total energy in eV for the cell shown: -66.39

Cell: 3.3367 3.3367 21.1695 Å, 90.00 90.00 120.00°
Closest atoms and distances in Å follow each position.
Positions (direct):
Ta 0.0000 0.0000 0.0000  6 S 2.48
Ta 0.3333 0.6667 0.3224  6 S 2.48
Mo 0.3333 0.6667 0.6730  6 Se 2.55
Se 0.0000 0.0000 0.5941  3 Mo 2.55
Se 0.0000 0.0000 0.7519  3 Mo 2.55
S 0.0000 0.0000 0.2486  3 Ta 2.48
S 0.0000 0.0000 0.3964  3 Ta 2.48
S 0.3333 0.6667 0.0739  3 Ta 2.48
S 0.3333 0.6667 0.9260  3 Ta 2.48

***

[3]
TcMo2Se4S2 | PBE | optimized geometry

Volume in A^3/atom: 22.748
Spin magnetization in μB/cell: 0.000
Crystal system: trigonal
Uncorrected formation energy in eV per atom: -0.59
Total energy in eV for the cell shown: -59.57

Cell: 3.3133 3.3133 21.5337 Å, 90.00 90.00 120.00°
Closest atoms and distances in Å follow each position.
Positions (direct):
Tc 0.0000 0.0000 0.0000  6 S 2.40
Mo 0.0000 0.0000 0.6526  6 Se 2.54
Mo 0.6667 0.3333 0.3188  6 Se 2.54
Se 0.0000 0.0000 0.2410  3 Mo 2.54
Se 0.0000 0.0000 0.3967  3 Mo 2.54
Se 0.6667 0.3333 0.5747  3 Mo 2.54
Se 0.6667 0.3333 0.7304  3 Mo 2.54
S 0.6667 0.3333 0.0670  3 Tc 2.40
S 0.6667 0.3333 0.9331  3 Tc 2.40

***

[4]
TeMoWSeS2 | PBE | optimized geometry

Volume in A^3/atom: 23.230
Spin magnetization in μB/cell: 0.000
Crystal system: trigonal
Uncorrected formation energy in eV per atom: -0.56
Total energy in eV for the cell shown: -84.08

Cell: 3.3078 3.3078 29.4181 Å, 90.00 90.00 120.00°
Closest atoms and distances in Å follow each position.
Positions (direct):
Te 0.0000 0.0000 0.0000  3 W 2.71
Te 0.0000 0.0000 0.1310  3 W 2.71
Mo 0.0000 0.0000 0.8167  6 S 2.44
Mo 0.6667 0.3333 0.5712  6 Se 2.54
W 0.0000 0.0000 0.3171  6 S 2.45
W 0.6667 0.3333 0.0655  6 Te 2.71
Se 0.0000 0.0000 0.5141  3 Mo 2.54
Se 0.0000 0.0000 0.6283  3 Mo 2.54
S 0.6667 0.3333 0.2650  3 W 2.45
S 0.6667 0.3333 0.3693  3 W 2.45
S 0.6667 0.3333 0.7648  3 Mo 2.44
S 0.6667 0.3333 0.8686  3 Mo 2.44

***

[5]
Te4MoW3Se2S2 | PBE | optimized geometry

Volume in A^3/atom: 27.720
Spin magnetization in μB/cell: 0.000
Crystal system: trigonal
Uncorrected formation energy in eV per atom: -0.38
Total energy in eV for the cell shown: -82.02

Cell: 3.3935 3.3935 33.3545 Å, 90.00 90.00 120.00°
Closest atoms and distances in Å follow each position.
Positions (direct):
Te 0.0000 0.0000 0.0000  3 W 2.72
Te 0.0000 0.0000 0.1131  3 W 2.72
Te 0.3333 0.6667 0.2314  3 Mo 2.71
Te 0.3333 0.6667 0.3439  3 Mo 2.71
Mo 0.0000 0.0000 0.2876  6 Te 2.71
W 0.0000 0.0000 0.8374  6 S 2.47
W 0.3333 0.6667 0.0566  6 Te 2.72
W 0.3333 0.6667 0.5127  6 Se 2.57
Se 0.0000 0.0000 0.4630  3 W 2.57
Se 0.0000 0.0000 0.5624  3 W 2.57
S 0.3333 0.6667 0.7923  3 W 2.47
S 0.3333 0.6667 0.8826  3 W 2.47

***

[6]
TeMoWSeS2 | PBE | optimized geometry

Volume in A^3/atom: 27.157
Spin magnetization in μB/cell: 0.000
Crystal system: trigonal
Uncorrected formation energy in eV per atom: -0.60
Total energy in eV for the cell shown: -84.51

Cell: 3.3037 3.3037 34.4774 Å, 90.00 90.00 120.00°
Closest atoms and distances in Å follow each position.
Positions (direct):
Te 0.0000 0.0000 0.0000  3 Mo 2.70
Te 0.0000 0.0000 0.1111  3 Mo 2.70
Mo 0.0000 0.0000 0.8394  6 Se 2.54
Mo 0.6667 0.3333 0.0555  6 Te 2.70
W 0.0000 0.0000 0.2697  6 S 2.45
W 0.6667 0.3333 0.6316  6 S 2.45
Se 0.6667 0.3333 0.7906  3 Mo 2.54
Se 0.6667 0.3333 0.8881  3 Mo 2.54
S 0.0000 0.0000 0.5871  3 W 2.45
S 0.0000 0.0000 0.6761  3 W 2.45
S 0.6667 0.3333 0.2252  3 W 2.45
S 0.6667 0.3333 0.3141  3 W 2.45

***

[7]
Te2MoWSeS | PBE | optimized geometry

Volume in A^3/atom: 28.953
Spin magnetization in μB/cell: 0.000
Crystal system: trigonal
Uncorrected formation energy in eV per atom: -0.43
Total energy in eV for the cell shown: -80.50

Cell: 3.3911 3.3911 34.8861 Å, 90.00 90.00 120.00°
Closest atoms and distances in Å follow each position.
Positions (direct):
Te 0.0000 0.0000 0.0000  3 Mo 2.71
Te 0.0000 0.0000 0.1076  3 Mo 2.71
Te 0.3333 0.6667 0.7781  3 Mo 2.71
Te 0.3333 0.6667 0.8857  3 Mo 2.71
Mo 0.0000 0.0000 0.8319  6 Te 2.71
Mo 0.3333 0.6667 0.0538  6 Te 2.71
W 0.0000 0.0000 0.2673  6 Se 2.57
W 0.3333 0.6667 0.4696  6 S 2.47
Se 0.3333 0.6667 0.2197  3 W 2.57
Se 0.3333 0.6667 0.3148  3 W 2.57
S 0.0000 0.0000 0.4263  3 W 2.47
S 0.0000 0.0000 0.5128  3 W 2.47

***

[8]
Te2MoW3Se4S2 | PBE | optimized geometry

Volume in A^3/atom: 23.510
Spin magnetization in μB/cell: 0.000
Crystal system: trigonal
Uncorrected formation energy in eV per atom: -0.48
Total energy in eV for the cell shown: -83.94

Cell: 3.3439 3.3439 29.1336 Å, 90.00 90.00 120.00°
Closest atoms and distances in Å follow each position.
Positions (direct):
Te 0.0000 0.0000 0.0000  3 W 2.72
Te 0.0000 0.0000 0.1311  3 W 2.72
Mo 0.0000 0.0000 0.8169  6 S 2.45
W 0.0000 0.0000 0.3216  6 Se 2.56
W 0.3333 0.6667 0.0656  6 Te 2.72
W 0.3333 0.6667 0.5724  6 Se 2.56
Se 0.0000 0.0000 0.5150  3 W 2.56
Se 0.0000 0.0000 0.6299  3 W 2.56
Se 0.3333 0.6667 0.2642  3 W 2.56
Se 0.3333 0.6667 0.3791  3 W 2.56
S 0.3333 0.6667 0.7648  3 Mo 2.45
S 0.3333 0.6667 0.8689  3 Mo 2.45